Run i
{
  "formula": "LaEu2Sc",
  "functional": "PBE",
  "state": "optimized geometry",
  "lattice_angstrom": [[3.6470, 0.0000, 0.0000], [0.0000, 3.6470, 0.0000], [0.0000, 0.0000, 10.4949]],
  "species": ["La", "Eu", "Eu", "Sc"],
  "fractional_positions": [[0.0000, 0.0000, 0.0000], [0.5000, 0.5000, 0.2685], [0.5000, 0.5000, 0.7315], [0.0000, 0.0000, 0.5000]],
  "m_tot_mub_per_cell": 15.32,
  "volume_a3_per_atom": 34.9,
  "crystal_system": "tetragonal",
  "density_g_cm3": 5.8
}


Run ii
{
  "formula": "LaEu2Sc",
  "functional": "PBE",
  "state": "optimized geometry",
  "lattice_angstrom": [[5.1276, 0.0000, 0.0000], [0.0000, 5.1276, 0.0000], [0.0000, 0.0000, 5.3068]],
  "species": ["La", "Eu", "Eu", "Sc"],
  "fractional_positions": [[0.0000, 0.0000, 0.0000], [0.0000, 0.5000, 0.5000], [0.5000, 0.0000, 0.5000], [0.5000, 0.5000, 0.0000]],
  "m_tot_mub_per_cell": 15.37,
  "volume_a3_per_atom": 34.9,
  "crystal_system": "tetragonal",
  "density_g_cm3": 5.8
}


Tell me which of them is the most stable. Sure, it is run i.